No. 1
{"formula": "Cs2DyLuO4", "functional": "PBE-GGA", "state": "relaxed", "e_tot_ev_per_atom": -6.476, "magmom_total_mub_per_fu": 0.0, "lattice_angstrom": [[3.494, 0.000, 0.000], [-1.747, 3.026, 0.000], [0.000, 0.000, 13.520]], "species": ["Cs", "Cs", "Dy", "Lu", "O", "O", "O", "O"], "frac_coords": [[0.333, 0.667, 0.249], [0.667, 0.333, 0.751], [0.000, 0.000, 0.500], [0.000, 0.000, 0.000], [0.333, 0.667, 0.584], [0.333, 0.667, 0.920], [0.667, 0.333, 0.080], [0.667, 0.333, 0.416]]}

No. 2
{"formula": "SmHgSb", "functional": "PBE-GGA", "state": "relaxed", "e_above_lowest_polymorph_kj_per_mol_atoms": 11.44, "magmom_total_mub_per_fu": 0.0, "lattice_angstrom": [[5.151, 0.000, 0.000], [-2.576, 4.461, 0.000], [0.000, 0.000, 3.681]], "species": ["Sm", "Hg", "Sb"], "frac_coords": [[0.000, 0.000, 0.000], [0.333, 0.667, 0.000], [0.667, 0.333, 0.500]]}

No. 3
{"formula": "ScTc2W", "functional": "PBE-GGA", "state": "relaxed", "e_form_ev_per_atom": -0.1846, "e_above_lowest_polymorph_kj_per_mol_atoms": 3.96, "magmom_total_mub_per_fu": 0.0, "lattice_angstrom": [[4.484, 0.000, 0.000], [0.000, 4.484, 0.000], [0.000, 0.000, 3.143]], "species": ["Sc", "Tc", "Tc", "W"], "frac_coords": [[0.000, 0.000, 0.000], [0.000, 0.500, 0.500], [0.500, 0.000, 0.500], [0.500, 0.500, 0.000]]}

No. 4
{"formula": "ErTaSb", "functional": "PBE-GGA", "state": "relaxed", "e_tot_ev_per_atom": -6.010, "magmom_total_mub_per_fu": 2.9, "lattice_angstrom": [[0.000, 3.502, 3.502], [3.502, 0.000, 3.502], [3.502, 3.502, 0.000]], "species": ["Er", "Ta", "Sb"], "frac_coords": [[0.000, 0.000, 0.000], [0.250, 0.250, 0.250], [0.750, 0.750, 0.750]]}

No. 5
{"formula": "TbMgTe2AuS", "functional": "PBE-GGA", "state": "relaxed", "e_tot_ev_per_atom": -4.145, "magmom_total_mub_per_fu": 0.0, "lattice_angstrom": [[2.048, -7.067, 0.000], [2.048, 7.067, 0.000], [0.000, 0.000, 10.461]], "species": ["Tb", "Tb", "Mg", "Mg", "Te", "Te", "Te", "Te", "Au", "Au", "S", "S"], "frac_coords": [[0.000, 0.000, 0.000], [0.000, 0.000, 0.500], [0.281, 0.719, 0.750], [0.719, 0.281, 0.250], [0.342, 0.658, 0.067], [0.342, 0.658, 0.433], [0.658, 0.342, 0.567], [0.658, 0.342, 0.933], [0.480, 0.520, 0.250], [0.520, 0.480, 0.750], [0.098, 0.902, 0.250], [0.902, 0.098, 0.750]]}

No. 6
{"formula": "DyPdAu", "functional": "PBE-GGA", "state": "relaxed", "e_form_ev_per_atom": -0.7197, "magmom_total_mub_per_fu": 0.0, "lattice_angstrom": [[0.000, 3.259, 3.259], [3.259, 0.000, 3.259], [3.259, 3.259, 0.000]], "species": ["Dy", "Pd", "Au"], "frac_coords": [[0.000, 0.000, 0.000], [0.750, 0.750, 0.750], [0.500, 0.500, 0.500]]}

No. 7
{"formula": "CsTm2CuS4", "functional": "PBE-GGA", "state": "relaxed", "e_tot_ev_per_atom": -5.373, "magmom_total_mub_per_fu": 0.0, "lattice_angstrom": [[1.983, -6.975, 0.000], [1.983, 6.975, 0.000], [0.000, 0.000, 13.737]], "species": ["Cs", "Cs", "Tm", "Tm", "Tm", "Tm", "Cu", "Cu", "S", "S", "S", "S", "S", "S", "S", "S"], "frac_coords": [[0.108, 0.892, 0.750], [0.892, 0.108, 0.250], [0.366, 0.634, 0.562], [0.366, 0.634, 0.938], [0.634, 0.366, 0.062], [0.634, 0.366, 0.438], [0.168, 0.832, 0.250], [0.832, 0.168, 0.750], [0.000, 0.000, 0.000], [0.000, 0.000, 0.500], [0.254, 0.746, 0.103], [0.254, 0.746, 0.397], [0.419, 0.581, 0.750], [0.581, 0.419, 0.250], [0.746, 0.254, 0.603], [0.746, 0.254, 0.897]]}

No. 8
{"formula": "NdDy2Mg3In2Hg", "functional": "PBE-GGA", "state": "relaxed", "e_tot_ev_per_atom": -3.133, "magmom_total_mub_per_fu": 0.0, "lattice_angstrom": [[4.656, 0.000, 0.000], [0.000, 6.605, 3.756], [0.000, -6.605, 3.756]], "species": ["Nd", "Dy", "Dy", "Mg", "Mg", "Mg", "In", "In", "Hg"], "frac_coords": [[0.000, 0.000, 0.000], [0.000, 0.419, 0.839], [0.000, 0.839, 0.419], [0.500, 0.183, 0.421], [0.500, 0.421, 0.183], [0.500, 0.660, 0.660], [0.500, 0.088, 0.749], [0.500, 0.749, 0.088], [0.000, 0.429, 0.429]]}

No. 9
{"formula": "AcCuTe", "functional": "PBE-GGA", "state": "relaxed", "e_above_lowest_polymorph_kj_per_mol_atoms": 7.46, "magmom_total_mub_per_fu": 0.0, "lattice_angstrom": [[0.000, 3.759, 3.759], [3.759, 0.000, 3.759], [3.759, 3.759, 0.000]], "species": ["Ac", "Cu", "Te"], "frac_coords": [[0.000, 0.000, 0.000], [0.750, 0.750, 0.750], [0.250, 0.250, 0.250]]}

No. 10
{"formula": "Sc4ZnInN2", "functional": "PBE-GGA", "state": "relaxed", "e_tot_ev_per_atom": -6.848, "magmom_total_mub_per_fu": 0.0, "lattice_angstrom": [[3.243, 0.000, 0.000], [-1.621, 2.808, 0.000], [0.000, 0.000, 14.478]], "species": ["Sc", "Sc", "Sc", "Sc", "Zn", "In", "N", "N"], "frac_coords": [[0.000, 0.000, 0.157], [0.000, 0.000, 0.843], [0.667, 0.333, 0.325], [0.667, 0.333, 0.675], [0.667, 0.333, 0.000], [0.000, 0.000, 0.500], [0.333, 0.667, 0.245], [0.333, 0.667, 0.755]]}

No. 11
{"formula": "RbSmZnO3", "functional": "PBE-GGA", "state": "relaxed", "e_tot_ev_per_atom": -5.795, "magmom_total_mub_per_fu": 0.0, "lattice_angstrom": [[1.794, -6.240, 0.000], [1.794, 6.240, 0.000], [0.000, 0.000, 9.293]], "species": ["Rb", "Rb", "Sm", "Sm", "Zn", "Zn", "O", "O", "O", "O", "O", "O"], "frac_coords": [[0.225, 0.775, 0.750], [0.775, 0.225, 0.250], [0.500, 0.500, 0.000], [0.500, 0.500, 0.500], [0.054, 0.946, 0.250], [0.946, 0.054, 0.750], [0.113, 0.887, 0.060], [0.113, 0.887, 0.440], [0.462, 0.538, 0.250], [0.538, 0.462, 0.750], [0.887, 0.113, 0.560], [0.887, 0.113, 0.940]]}

No. 12
{"formula": "LiFeCu4B2", "functional": "PBE-GGA", "state": "relaxed", "e_tot_ev_per_atom": -4.467, "magmom_total_mub_per_fu": 2.2, "lattice_angstrom": [[3.641, 0.000, 0.000], [0.000, 3.641, 0.000], [0.000, 0.000, 6.001]], "species": ["Li", "Fe", "Cu", "Cu", "Cu", "Cu", "B", "B"], "frac_coords": [[0.000, 0.000, 0.000], [0.500, 0.500, 0.500], [0.000, 0.500, 0.231], [0.000, 0.500, 0.769], [0.500, 0.000, 0.231], [0.500, 0.000, 0.769], [0.000, 0.000, 0.500], [0.500, 0.500, 0.000]]}

> Number 6 is which compound?

DyPdAu